(1)
The following is a PBE calculation of crystalline Ac8AsP4S3 at its relaxed geometry, from the Alexandria database.

Cell lengths 8.8280, 8.8280, 8.8280 Å; angles 59.97, 59.97, 59.97 degrees
With the nearest neighbours (Å) after each atom.
Sites, in units of the cell vectors:
Ac1 0.2475 0.2475 0.2475  3 P 3.09, 3 S 3.15
Ac2 0.2481 0.7478 0.7478  3 P 3.09, 2 S 3.15, 1 As 3.15
Ac3 0.2522 0.2522 0.7519  3 P 3.09, 2 S 3.15, 1 As 3.15
Ac4 0.2522 0.7519 0.2522  3 P 3.09, 2 S 3.15, 1 As 3.15
Ac5 0.7478 0.2481 0.7478  3 P 3.09, 2 S 3.15, 1 As 3.15
Ac6 0.7478 0.7478 0.2481  3 P 3.09, 2 S 3.15, 1 As 3.15
Ac7 0.7519 0.2522 0.2522  3 P 3.09, 2 S 3.15, 1 As 3.15
Ac8 0.7525 0.7525 0.7525  3 P 3.09, 3 S 3.15
As1 0.0000 0.0000 0.0000  6 Ac 3.15
P1 0.0000 0.0000 0.5000  6 Ac 3.09
P2 0.0000 0.5000 0.0000  6 Ac 3.09
P3 0.5000 0.0000 0.0000  6 Ac 3.09
P4 0.5000 0.5000 0.5000  6 Ac 3.09
S1 0.0000 0.5000 0.5000  6 Ac 3.15
S2 0.5000 0.0000 0.5000  6 Ac 3.15
S3 0.5000 0.5000 0.0000  6 Ac 3.15

## Properties
**SG**: R-3m, No. 166
**Total magnetic moment**: 0.0 μB/cell
**Formation energy (no corrections)**: -1.733 eV/atom

=====

(2)
The following is a PBE calculation of crystalline Ac6Sb2AsP3 at its relaxed geometry, from the Alexandria database.

Cell lengths 10.2588, 10.2588, 9.1926 Å; angles 103.24, 103.24, 25.74 degrees
With the nearest neighbours (Å) after each atom.
Sites, in units of the cell vectors:
Ac1 0.0039 0.0039 0.2500  3 P 3.16-3.23, 2 As 3.25, 1 Sb 3.32
Ac2 0.3329 0.3329 0.4299  3 P 3.14-3.24, 1 As 3.25, 2 Sb 3.33
Ac3 0.3390 0.3390 0.9053  3 P 3.13-3.16, 3 Sb 3.34-3.35
Ac4 0.6610 0.6610 0.0947  3 P 3.13-3.16, 3 Sb 3.34-3.35
Ac5 0.6671 0.6671 0.5701  3 P 3.14-3.24, 1 As 3.25, 2 Sb 3.33
Ac6 0.9961 0.9961 0.7500  3 P 3.16-3.23, 2 As 3.25, 1 Sb 3.32
Sb1 0.1671 0.1671 0.8334  6 Ac 3.32-3.35
Sb2 0.8329 0.8329 0.1666  6 Ac 3.32-3.35
As1 0.5000 0.5000 0.5000  6 Ac 3.25
P1 0.1664 0.1664 0.3348  6 Ac 3.14-3.24
P2 0.5000 0.5000 0.0000  6 Ac 3.13-3.23
P3 0.8336 0.8336 0.6652  6 Ac 3.14-3.24

## Properties
**SG**: C2/m, No. 12
**Total magnetic moment**: 0.0 μB/cell
**Formation energy (no corrections)**: -1.359 eV/atom

=====

(3)
The following is a PBE calculation of crystalline Ac8AsP4Se3 at its relaxed geometry, from the Alexandria database.

Cell lengths 8.9574, 8.9574, 8.9574 Å; angles 59.68, 59.68, 59.68 degrees
With the nearest neighbours (Å) after each atom.
Sites, in units of the cell vectors:
Ac1 0.2424 0.7477 0.7477  3 P 3.10-3.13, 1 As 3.19, 2 Se 3.22
Ac2 0.2446 0.2446 0.2446  3 P 3.09, 3 Se 3.23
Ac3 0.2523 0.2523 0.7576  3 P 3.10-3.13, 1 As 3.19, 2 Se 3.22
Ac4 0.2523 0.7576 0.2523  3 P 3.10-3.13, 1 As 3.19, 2 Se 3.22
Ac5 0.7477 0.2424 0.7477  3 P 3.10-3.13, 1 As 3.19, 2 Se 3.22
Ac6 0.7477 0.7477 0.2424  3 P 3.10-3.13, 1 As 3.19, 2 Se 3.22
Ac7 0.7554 0.7554 0.7554  3 P 3.09, 3 Se 3.23
Ac8 0.7576 0.2523 0.2523  3 P 3.10-3.13, 1 As 3.19, 2 Se 3.22
As1 0.0000 0.0000 0.0000  6 Ac 3.19
P1 0.0000 0.0000 0.5000  6 Ac 3.09-3.10
P2 0.0000 0.5000 0.0000  6 Ac 3.09-3.10
P3 0.5000 0.0000 0.0000  6 Ac 3.09-3.10
P4 0.5000 0.5000 0.5000  6 Ac 3.13
Se1 0.0000 0.5000 0.5000  6 Ac 3.22-3.23
Se2 0.5000 0.0000 0.5000  6 Ac 3.22-3.23
Se3 0.5000 0.5000 0.0000  6 Ac 3.22-3.23

## Properties
**SG**: R-3m, No. 166
**Total magnetic moment**: 0.0 μB/cell
**Formation energy (no corrections)**: -1.699 eV/atom

=====

(4)
The following is a PBE calculation of crystalline Ac6As3PSe2 at its relaxed geometry, from the Alexandria database.

Cell lengths 10.0761, 10.0761, 9.0149 Å; angles 102.80, 102.80, 25.85 degrees
With the nearest neighbours (Å) after each atom.
Sites, in units of the cell vectors:
Ac1 0.0018 0.0018 0.2570  2 P 3.15, 3 As 3.18-3.23, 1 Se 3.24
Ac2 0.3361 0.3361 0.4242  1 P 3.14, 3 As 3.16-3.21, 2 Se 3.24
Ac3 0.3365 0.3365 0.9113  3 As 3.13-3.14, 3 Se 3.22-3.23
Ac4 0.6635 0.6635 0.0887  3 As 3.13-3.14, 3 Se 3.22-3.23
Ac5 0.6639 0.6639 0.5758  1 P 3.14, 3 As 3.16-3.21, 2 Se 3.24
Ac6 0.9982 0.9982 0.7430  2 P 3.15, 3 As 3.18-3.23, 1 Se 3.24
As1 0.1683 0.1683 0.3331  6 Ac 3.14-3.21
As2 0.5000 0.5000 0.0000  6 Ac 3.13-3.23
As3 0.8317 0.8317 0.6669  6 Ac 3.14-3.21
P1 0.5000 0.5000 0.5000  6 Ac 3.14-3.15
Se1 0.1676 0.1676 0.8353  6 Ac 3.22-3.24
Se2 0.8324 0.8324 0.1647  6 Ac 3.22-3.24

## Properties
**SG**: C2/m, No. 12
**Total magnetic moment**: 0.0 μB/cell
**Formation energy (no corrections)**: -1.666 eV/atom

=====

Please write out number 4 again, unchanged.
The following is a PBE calculation of crystalline Ac6As3PSe2 at its relaxed geometry, from the Alexandria database.

Cell lengths 10.0761, 10.0761, 9.0149 Å; angles 102.80, 102.80, 25.85 degrees
With the nearest neighbours (Å) after each atom.
Sites, in units of the cell vectors:
Ac1 0.0018 0.0018 0.2570  2 P 3.15, 3 As 3.18-3.23, 1 Se 3.24
Ac2 0.3361 0.3361 0.4242  1 P 3.14, 3 As 3.16-3.21, 2 Se 3.24
Ac3 0.3365 0.3365 0.9113  3 As 3.13-3.14, 3 Se 3.22-3.23
Ac4 0.6635 0.6635 0.0887  3 As 3.13-3.14, 3 Se 3.22-3.23
Ac5 0.6639 0.6639 0.5758  1 P 3.14, 3 As 3.16-3.21, 2 Se 3.24
Ac6 0.9982 0.9982 0.7430  2 P 3.15, 3 As 3.18-3.23, 1 Se 3.24
As1 0.1683 0.1683 0.3331  6 Ac 3.14-3.21
As2 0.5000 0.5000 0.0000  6 Ac 3.13-3.23
As3 0.8317 0.8317 0.6669  6 Ac 3.14-3.21
P1 0.5000 0.5000 0.5000  6 Ac 3.14-3.15
Se1 0.1676 0.1676 0.8353  6 Ac 3.22-3.24
Se2 0.8324 0.8324 0.1647  6 Ac 3.22-3.24

## Properties
**SG**: C2/m, No. 12
**Total magnetic moment**: 0.0 μB/cell
**Formation energy (no corrections)**: -1.666 eV/atom

=====

> Which value of total magnetic moment does entry 4 give?

0.0 μB/cell